ZrCo3: optimized geometry, PBE.

Cell lengths 3.747, 3.747, 4.633 Å; angles 66.14, 66.14, 90.00 degrees
Each line ends with the local moment (μB).
Atoms (fractional coordinates):
1 Co 0.000 0.000 0.000  1.17
2 Co 0.750 0.250 0.500  1.17
3 Co 0.500 0.500 0.000  1.17
4 Zr 0.250 0.750 0.500  -0.29

Properties
total energy	-30.2	eV per cell
symmetry	I4/mmm, No. 139